P) NpTeSe | PBE | optimized geometry

Cell and atoms, written as CIF:
```
data_NpTeSe
_chemical_formula_sum 'Np2 Te2 Se2'
_space_group_name_H-M_alt 'I 4 m m'
_space_group_IT_number 107
_space_group_name_Hall 'I 4 -2'
_cell_length_a 3.8045
_cell_length_b 3.8045
_cell_length_c 10.3173
_cell_angle_alpha 90.00
_cell_angle_beta 90.00
_cell_angle_gamma 90.00
loop_
_atom_site_label
_atom_site_fract_x
_atom_site_fract_y
_atom_site_fract_z
_atom_site_occupancy
Np1 0.0000 0.0000 0.0000 1
Te1 0.0000 0.0000 0.3323 1
Se1 0.0000 0.0000 0.6290 1
```

* D(E_F): 6.47 states/eV/f.u.



Q) NpTeSe | PBE | optimized geometry

Cell and atoms, written as CIF:
```
data_NpTeSe
_chemical_formula_sum 'Np1 Te1 Se1'
_space_group_name_H-M_alt 'P -6 m 2'
_space_group_IT_number 187
_space_group_name_Hall 'P -6 2'
_cell_length_a 4.7765
_cell_length_b 4.7765
_cell_length_c 4.1223
_cell_angle_alpha 90.00
_cell_angle_beta 90.00
_cell_angle_gamma 120.00
loop_
_atom_site_label
_atom_site_fract_x
_atom_site_fract_y
_atom_site_fract_z
_atom_site_occupancy
Np1 0.0000 0.0000 0.0000 1
Te1 0.3333 0.6667 0.5000 1
Se1 0.6667 0.3333 0.0000 1
```

* D(E_F): 9.01 states/eV/f.u.



R) NpTeSe | PBE | optimized geometry

Cell and atoms, written as CIF:
```
data_NpTeSe
_chemical_formula_sum 'Np4 Te4 Se4'
_space_group_name_H-M_alt 'I 4/m m m'
_space_group_IT_number 139
_space_group_name_Hall '-I 4 2'
_cell_length_a 4.2735
_cell_length_b 4.2735
_cell_length_c 17.3611
_cell_angle_alpha 90.00
_cell_angle_beta 90.00
_cell_angle_gamma 90.00
loop_
_atom_site_label
_atom_site_fract_x
_atom_site_fract_y
_atom_site_fract_z
_atom_site_occupancy
Np1 0.0000 0.0000 0.1513 1
Te1 0.0000 0.5000 0.0000 1
Se1 0.0000 0.0000 0.3182 1
```

* D(E_F): 9.17 states/eV/f.u.



S) NpTeSe | PBE | optimized geometry

Cell and atoms, written as CIF:
```
data_NpTeSe
_chemical_formula_sum 'Np4 Te4 Se4'
_space_group_name_H-M_alt 'F -4 3 m'
_space_group_IT_number 216
_space_group_name_Hall 'F -4 2 3'
_cell_length_a 7.0890
_cell_length_b 7.0890
_cell_length_c 7.0890
_cell_angle_alpha 90.00
_cell_angle_beta 90.00
_cell_angle_gamma 90.00
loop_
_atom_site_label
_atom_site_fract_x
_atom_site_fract_y
_atom_site_fract_z
_atom_site_occupancy
Np1 0.0000 0.0000 0.0000 1
Te1 0.2500 0.2500 0.7500 1
Se1 0.2500 0.2500 0.2500 1
```

* D(E_F): 12.86 states/eV/f.u.



Which of them is most stable? Easy: R).



P) NpTiSe4 | PBE | optimized geometry

Cell and atoms, written as CIF:
```
data_NpTiSe4
_chemical_formula_sum 'Np2 Ti2 Se8'
_space_group_name_H-M_alt 'P 1 21/c 1'
_space_group_IT_number 14
_cell_length_a 7.7651
_cell_length_b 6.1346
_cell_length_c 7.5156
_cell_angle_alpha 90.00
_cell_angle_beta 118.63
_cell_angle_gamma 90.00
loop_
_space_group_symop_operation_xyz
'x,y,z'
'-x,-y,-z'
'-x,y+1/2,-z+1/2'
'x,-y+1/2,z+1/2'
loop_
_atom_site_label
_atom_site_fract_x
_atom_site_fract_y
_atom_site_fract_z
_atom_site_occupancy
Np1 0.0000 0.0000 0.0000 1
Ti1 0.5000 0.0000 0.5000 1
Se1 0.2012 0.2363 0.3550 1
Se2 0.3488 0.7398 0.6839 1
```

* D(E_F): 8.84 states/eV/f.u.



Q) NpTiSe4 | PBE | optimized geometry

Cell and atoms, written as CIF:
```
data_NpTiSe4
_chemical_formula_sum 'Np2 Ti2 Se8'
_space_group_name_H-M_alt 'C 1 2/m 1'
_space_group_IT_number 12
_cell_length_a 13.5269
_cell_length_b 3.8352
_cell_length_c 6.6417
_cell_angle_alpha 90.00
_cell_angle_beta 98.83
_cell_angle_gamma 90.00
loop_
_space_group_symop_operation_xyz
'x,y,z'
'-x,-y,-z'
'-x,y,-z'
'x,-y,z'
'x+1/2,y+1/2,z'
'-x+1/2,-y+1/2,-z'
'-x+1/2,y+1/2,-z'
'x+1/2,-y+1/2,z'
loop_
_atom_site_label
_atom_site_fract_x
_atom_site_fract_y
_atom_site_fract_z
_atom_site_occupancy
Np1 0.0000 0.0000 0.0000 1
Ti1 0.0000 0.5000 0.5000 1
Se1 0.1116 0.0000 0.3861 1
Se2 0.1172 0.5000 0.8439 1
```

* D(E_F): 7.25 states/eV/f.u.



Which of them is most stable? Easy: Q).



P) NpTiSe2 | PBE | optimized geometry

Cell and atoms, written as CIF:
```
data_NpTiSe2
_chemical_formula_sum 'Np3 Ti3 Se6'
_space_group_name_H-M_alt 'R 3 m'
_space_group_IT_number 160
_space_group_name_Hall 'R 3 -2"'
_cell_length_a 3.7734
_cell_length_b 3.7734
_cell_length_c 20.4336
_cell_angle_alpha 90.00
_cell_angle_beta 90.00
_cell_angle_gamma 120.00
loop_
_atom_site_label
_atom_site_fract_x
_atom_site_fract_y
_atom_site_fract_z
_atom_site_occupancy
Np1 0.0000 0.0000 0.0000 1
Ti1 0.0000 0.0000 0.8259 1
Se1 0.0000 0.0000 0.2358 1
Se2 0.0000 0.0000 0.4244 1
```

* D(E_F): 9.36 states/eV/f.u.



Q) NpTiSe2 | PBE | optimized geometry

Cell and atoms, written as CIF:
```
data_NpTiSe2
_chemical_formula_sum 'Np3 Ti3 Se6'
_space_group_name_H-M_alt 'R -3 m'
_space_group_IT_number 166
_space_group_name_Hall '-R 3 2"'
_cell_length_a 3.9094
_cell_length_b 3.9094
_cell_length_c 18.9005
_cell_angle_alpha 90.00
_cell_angle_beta 90.00
_cell_angle_gamma 120.00
loop_
_atom_site_label
_atom_site_fract_x
_atom_site_fract_y
_atom_site_fract_z
_atom_site_occupancy
Np1 0.0000 0.0000 0.0000 1
Ti1 0.0000 0.0000 0.5000 1
Se1 0.0000 0.0000 0.2410 1
```

* D(E_F): 10.34 states/eV/f.u.



Which of them is most stable? Easy: Q).



P) NpTi4Se8 | PBE | optimized geometry

Cell and atoms, written as CIF:
```
data_NpTi4Se8
_chemical_formula_sum 'Np3 Ti12 Se24'
_space_group_name_H-M_alt 'R -3 m'
_space_group_IT_number 166
_space_group_name_Hall '-R 3 2"'
_cell_length_a 7.2684
_cell_length_b 7.2684
_cell_length_c 19.8288
_cell_angle_alpha 90.00
_cell_angle_beta 90.00
_cell_angle_gamma 120.00
loop_
_atom_site_label
_atom_site_fract_x
_atom_site_fract_y
_atom_site_fract_z
_atom_site_occupancy
Np1 0.0000 0.0000 0.0000 1
Ti1 0.0000 0.0000 0.5000 1
Ti2 0.0000 0.5000 0.5000 1
Se1 0.0000 0.0000 0.2416 1
Se2 0.0107 0.5054 0.2445 1
```

* D(E_F): 17.42 states/eV/f.u.



Q) NpTi4Se8 | PBE | optimized geometry

Cell and atoms, written as CIF:
```
data_NpTi4Se8
_chemical_formula_sum 'Np4 Ti16 Se32'
_space_group_name_H-M_alt 'F -4 3 m'
_space_group_IT_number 216
_space_group_name_Hall 'F -4 2 3'
_cell_length_a 10.8907
_cell_length_b 10.8907
_cell_length_c 10.8907
_cell_angle_alpha 90.00
_cell_angle_beta 90.00
_cell_angle_gamma 90.00
loop_
_atom_site_label
_atom_site_fract_x
_atom_site_fract_y
_atom_site_fract_z
_atom_site_occupancy
Np1 0.0000 0.0000 0.0000 1
Ti1 0.1094 0.1094 0.3906 1
Se1 0.1238 0.1238 0.6238 1
Se2 0.1444 0.1444 0.1444 1
```

* D(E_F): 14.98 states/eV/f.u.



Which of them is most stable? Easy: P).



P) NpTl2Se4 | PBE | optimized geometry

Cell and atoms, written as CIF:
```
data_NpTl2Se4
_chemical_formula_sum 'Np4 Tl8 Se16'
_space_group_name_H-M_alt 'I -4 2 d'
_space_group_IT_number 122
_space_group_name_Hall 'I -4 2bw'
_cell_length_a 9.2746
_cell_length_b 9.2746
_cell_length_c 9.0084
_cell_angle_alpha 90.00
_cell_angle_beta 90.00
_cell_angle_gamma 90.00
loop_
_atom_site_label
_atom_site_fract_x
_atom_site_fract_y
_atom_site_fract_z
_atom_site_occupancy
Np1 0.0000 0.0000 0.0000 1
Tl1 0.1000 0.7500 0.6250 1
Se1 0.0603 0.6936 0.9856 1
```

* D(E_F): 13.30 states/eV/f.u.



Q) NpTl2Se4 | PBE | optimized geometry

Cell and atoms, written as CIF:
```
data_NpTl2Se4
_chemical_formula_sum 'Np1 Tl2 Se4'
_space_group_name_H-M_alt 'P 1 2/m 1'
_space_group_IT_number 10
_cell_length_a 7.4387
_cell_length_b 4.1605
_cell_length_c 8.8127
_cell_angle_alpha 90.00
_cell_angle_beta 113.12
_cell_angle_gamma 90.00
loop_
_space_group_symop_operation_xyz
'x,y,z'
'-x,-y,-z'
'-x,y,-z'
'x,-y,z'
loop_
_atom_site_label
_atom_site_fract_x
_atom_site_fract_y
_atom_site_fract_z
_atom_site_occupancy
Np1 0.0000 0.0000 0.0000 1
Tl1 0.2435 0.5000 0.6943 1
Se1 0.0707 0.0000 0.3156 1
Se2 0.2604 0.5000 0.0563 1
```

* D(E_F): 6.85 states/eV/f.u.



Which of them is most stable? Easy: Q).



P) Tm3NpSe6 | PBE | optimized geometry

Cell and atoms, written as CIF:
```
data_Tm3NpSe6
_chemical_formula_sum 'Tm6 Np2 Se12'
_space_group_name_H-M_alt 'C m m m'
_space_group_IT_number 65
_space_group_name_Hall '-C 2 2'
_cell_length_a 9.8295
_cell_length_b 14.0834
_cell_length_c 4.2916
_cell_angle_alpha 90.00
_cell_angle_beta 90.00
_cell_angle_gamma 90.00
loop_
_atom_site_label
_atom_site_fract_x
_atom_site_fract_y
_atom_site_fract_z
_atom_site_occupancy
Tm1 0.0000 0.0000 0.0000 1
Tm2 0.2500 0.2500 0.5000 1
Np1 0.0000 0.5000 0.0000 1
Se1 0.0000 0.3552 0.5000 1
Se2 0.2106 0.1236 0.0000 1
```

* D(E_F): 10.13 states/eV/f.u.



Q) Tm3NpSe6 | PBE | optimized geometry

Cell and atoms, written as CIF:
```
data_Tm3NpSe6
_chemical_formula_sum 'Tm6 Np2 Se12'
_space_group_name_H-M_alt 'P 1 21/m 1'
_space_group_IT_number 11
_cell_length_a 11.5114
_cell_length_b 4.0679
_cell_length_c 11.7227
_cell_angle_alpha 90.00
_cell_angle_beta 109.17
_cell_angle_gamma 90.00
loop_
_space_group_symop_operation_xyz
'x,y,z'
'-x,-y,-z'
'-x,y+1/2,-z'
'x,-y+1/2,z'
loop_
_atom_site_label
_atom_site_fract_x
_atom_site_fract_y
_atom_site_fract_z
_atom_site_occupancy
Tm1 0.0643 0.2500 0.1657 1
Tm2 0.1805 0.7500 0.5006 1
Tm3 0.3425 0.2500 0.9169 1
Np1 0.4526 0.2500 0.3070 1
Se1 0.0199 0.2500 0.3849 1
Se2 0.1060 0.2500 0.9385 1
Se3 0.2419 0.7500 0.2747 1
Se4 0.3043 0.7500 0.7498 1
Se5 0.3839 0.2500 0.5370 1
Se6 0.4174 0.7500 0.0976 1
```

* D(E_F): 7.14 states/eV/f.u.



Which of them is most stable? Easy: Q).



P) Np2USe4 | PBE | optimized geometry

Cell and atoms, written as CIF:
```
data_Np2USe4
_chemical_formula_sum 'Np8 U4 Se16'
_space_group_name_H-M_alt 'C m c m'
_space_group_IT_number 63
_space_group_name_Hall '-C 2c 2'
_cell_length_a 3.9898
_cell_length_b 13.5554
_cell_length_c 13.6492
_cell_angle_alpha 90.00
_cell_angle_beta 90.00
_cell_angle_gamma 90.00
loop_
_atom_site_label
_atom_site_fract_x
_atom_site_fract_y
_atom_site_fract_z
_atom_site_occupancy
Np1 0.0000 0.1350 0.0657 1
U1 0.0000 0.3828 0.2500 1
Se1 0.0000 0.0367 0.2500 1
Se2 0.0000 0.2241 0.6276 1
Se3 0.0000 0.5000 0.0000 1
```

* D(E_F): 23.73 states/eV/f.u.



Q) Np2USe4 | PBE | optimized geometry

Cell and atoms, written as CIF:
```
data_Np2USe4
_chemical_formula_sum 'Np8 U4 Se16'
_space_group_name_H-M_alt 'I -4 2 d'
_space_group_IT_number 122
_space_group_name_Hall 'I -4 2bw'
_cell_length_a 8.6991
_cell_length_b 8.6991
_cell_length_c 8.6793
_cell_angle_alpha 90.00
_cell_angle_beta 90.00
_cell_angle_gamma 90.00
loop_
_atom_site_label
_atom_site_fract_x
_atom_site_fract_y
_atom_site_fract_z
_atom_site_occupancy
Np1 0.1251 0.7500 0.1250 1
U1 0.0000 0.0000 0.5000 1
Se1 0.0752 0.6746 0.4512 1
```

* D(E_F): 25.82 states/eV/f.u.



Which of them is most stable? Easy: Q).



P) Np2USe6 | PBE | optimized geometry

Cell and atoms, written as CIF:
```
data_Np2USe6
_chemical_formula_sum 'Np2 U1 Se6'
_space_group_name_H-M_alt 'P -3'
_space_group_IT_number 147
_cell_length_a 7.5020
_cell_length_b 7.5020
_cell_length_c 4.4670
_cell_angle_alpha 90.00
_cell_angle_beta 90.00
_cell_angle_gamma 120.00
loop_
_space_group_symop_operation_xyz
'x,y,z'
'-x,-y,-z'
'-y,x-y,z'
'y,-x+y,-z'
'-x+y,-x,z'
'x-y,x,-z'
loop_
_atom_site_label
_atom_site_fract_x
_atom_site_fract_y
_atom_site_fract_z
_atom_site_occupancy
Np1 0.3333 0.6667 0.2347 1
U1 0.0000 0.0000 0.0000 1
Se1 0.0817 0.3781 0.7439 1
```

* D(E_F): 24.62 states/eV/f.u.



Q) Np2USe6 | PBE | optimized geometry

Cell and atoms, written as CIF:
```
data_Np2USe6
_chemical_formula_sum 'Np4 U2 Se12'
_space_group_name_H-M_alt 'P 42/m n m'
_space_group_IT_number 136
_space_group_name_Hall '-P 4n 2n'
_cell_length_a 6.5774
_cell_length_b 6.5774
_cell_length_c 12.8956
_cell_angle_alpha 90.00
_cell_angle_beta 90.00
_cell_angle_gamma 90.00
loop_
_atom_site_label
_atom_site_fract_x
_atom_site_fract_y
_atom_site_fract_z
_atom_site_occupancy
Np1 0.0000 0.0000 0.1664 1
U1 0.0000 0.0000 0.5000 1
Se1 0.1934 0.1934 0.3359 1
Se2 0.1981 0.1981 0.0000 1
```

* D(E_F): 18.51 states/eV/f.u.



Which of them is most stable? Easy: P).



P) NpU2Se4 | PBE | optimized geometry

Cell and atoms, written as CIF:
```
data_NpU2Se4
_chemical_formula_sum 'Np4 U8 Se16'
_space_group_name_H-M_alt 'I -4 2 d'
_space_group_IT_number 122
_space_group_name_Hall 'I -4 2bw'
_cell_length_a 8.6741
_cell_length_b 8.6741
_cell_length_c 8.7060
_cell_angle_alpha 90.00
_cell_angle_beta 90.00
_cell_angle_gamma 90.00
loop_
_atom_site_label
_atom_site_fract_x
_atom_site_fract_y
_atom_site_fract_z
_atom_site_occupancy
Np1 0.0000 0.0000 0.0000 1
U1 0.1230 0.7500 0.6250 1
Se1 0.0764 0.6741 0.9508 1
```

* D(E_F): 22.22 states/eV/f.u.



Q) NpU2Se4 | PBE | optimized geometry

Cell and atoms, written as CIF:
```
data_NpU2Se4
_chemical_formula_sum 'Np4 U8 Se16'
_space_group_name_H-M_alt 'C m c m'
_space_group_IT_number 63
_space_group_name_Hall '-C 2c 2'
_cell_length_a 3.9596
_cell_length_b 13.4854
_cell_length_c 13.7482
_cell_angle_alpha 90.00
_cell_angle_beta 90.00
_cell_angle_gamma 90.00
loop_
_atom_site_label
_atom_site_fract_x
_atom_site_fract_y
_atom_site_fract_z
_atom_site_occupancy
Np1 0.0000 0.1122 0.2500 1
U1 0.0000 0.3627 0.0639 1
Se1 0.0000 0.0000 0.0000 1
Se2 0.0000 0.2780 0.6285 1
Se3 0.0000 0.4543 0.2500 1
```

* D(E_F): 20.55 states/eV/f.u.



Which of them is most stable? Easy: P).



P) NpU3Se4 | PBE | optimized geometry

Cell and atoms, written as CIF:
```
data_NpU3Se4
_chemical_formula_sum 'Np2 U6 Se8'
_space_group_name_H-M_alt 'I 4/m m m'
_space_group_IT_number 139
_space_group_name_Hall '-I 4 2'
_cell_length_a 5.7494
_cell_length_b 5.7494
_cell_length_c 11.5327
_cell_angle_alpha 90.00
_cell_angle_beta 90.00
_cell_angle_gamma 90.00
loop_
_atom_site_label
_atom_site_fract_x
_atom_site_fract_y
_atom_site_fract_z
_atom_site_occupancy
Np1 0.0000 0.0000 0.0000 1
U1 0.0000 0.0000 0.5000 1
U2 0.0000 0.5000 0.2500 1
Se1 0.0000 0.0000 0.2502 1
Se2 0.0000 0.5000 0.0000 1
```

* D(E_F): 28.59 states/eV/f.u.



Q) NpU3Se4 | PBE | optimized geometry

Cell and atoms, written as CIF:
```
data_NpU3Se4
_chemical_formula_sum 'Np1 U3 Se4'
_space_group_name_H-M_alt 'P m -3 m'
_space_group_IT_number 221
_space_group_name_Hall '-P 4 2 3'
_cell_length_a 5.7510
_cell_length_b 5.7510
_cell_length_c 5.7510
_cell_angle_alpha 90.00
_cell_angle_beta 90.00
_cell_angle_gamma 90.00
loop_
_atom_site_label
_atom_site_fract_x
_atom_site_fract_y
_atom_site_fract_z
_atom_site_occupancy
Np1 0.0000 0.0000 0.0000 1
U1 0.0000 0.5000 0.5000 1
Se1 0.0000 0.0000 0.5000 1
Se2 0.5000 0.5000 0.5000 1
```

* D(E_F): 26.57 states/eV/f.u.



Which of them is most stable? Easy: Q).